Compound: Re2Tc
Source: the Alexandria database
Functional: SCAN
Structure: PBEsol geometry

It has space group Immm (No. 71), with a = 2.7298 Å, b = 3.8727 Å, c = 8.1987 Å, α = 90.00°, β = 90.00° and γ = 90.00°. The asymmetric unit holds Re at (0.0000, 0.0000, 0.1663) and Tc at (0.0000, 0.0000, 0.5000).

The value obtained for the density of states at the Fermi level is 4.837 states/eV/cell. The energy above the lowest structure with this stoichiometry is 49.4 meV per atom. The energy comes out at -59.04 eV per atom. For the energy relative to the elements, the calculation gives 0.0417 eV/atom.